Here is an optimized crystal structure of Pa2CrSiN6 from Alexandria via LeMat-Bulk. Energies are from GGA-PBE.

energy relative to the elements, uncorrected = -0.948 eV per atom
D(E_F) = 0.35 states/eV/atom
raw total energy = -93.5 eV/cell

abc: 5.1602 5.1602 4.5130
angles: 90.00 90.00 90.00
With the nearest neighbours (Å) after each atom.
Fractional coordinates of all 10 atoms:
Pa (0.0000, 0.5000, 0.0000)  4 N 2.26
Pa (0.5000, 0.0000, 0.0000)  4 N 2.26
Cr (0.0000, 0.0000, 0.5715)  5 N 1.76-1.96
Si (0.5000, 0.5000, 0.5775)  5 N 1.73-1.87
N (0.0000, 0.0000, 0.1825)  1 Cr 1.76
N (0.2561, 0.2561, 0.7031)  1 Si 1.87, 1 Cr 1.96
N (0.2561, 0.7439, 0.7031)  1 Si 1.87, 1 Cr 1.96
N (0.5000, 0.5000, 0.1932)  1 Si 1.73
N (0.7439, 0.2561, 0.7031)  1 Si 1.87, 1 Cr 1.96
N (0.7439, 0.7439, 0.7031)  1 Si 1.87, 1 Cr 1.96